This record from the Alexandria database describes a geometry-optimized PuThSc2S4 structure. The functional is GGA-PBE. Values from VASP.

Formation energy without anion corrections   -1.824 eV/atom
Calculated density   7.15 Mg/m³
Magnetic moment   5.75 Bohr magnetons per cell

```
&SYSTEM
  ibrav = 0, nat = 8, ntyp = 4
/
ATOMIC_SPECIES
Pu 244.00 Pu.upf
Th 232.04 Th.upf
Sc 44.96 Sc.upf
S 32.06 S.upf
CELL_PARAMETERS angstrom
6.578 0.000 0.000
0.000 3.784 0.000
-2.177 0.000 6.475
ATOMIC_POSITIONS crystal
Pu 0.000 0.000 0.000
Th 0.500 0.500 0.000
Sc 0.000 0.500 0.500
Sc 0.500 0.000 0.500
S 0.237 0.000 0.721
S 0.254 0.500 0.274
S 0.746 0.500 0.726
S 0.763 0.000 0.279
```



This record from the Alexandria database describes a geometry-optimized Ca2TbHg8 structure. The functional is GGA-PBE. Values from VASP.

Energy relative to the elements   -0.34 eV/atom
Calculated density   10.77 Mg/m³
Magnetic moment   0.00 Bohr magnetons per cell

```
&SYSTEM
  ibrav = 0, nat = 11, ntyp = 3
/
ATOMIC_SPECIES
Ca 40.08 Ca.upf
Tb 158.93 Tb.upf
Hg 200.59 Hg.upf
CELL_PARAMETERS angstrom
8.074 -2.583 0.000
8.074 2.583 0.000
-3.729 0.000 6.814
ATOMIC_POSITIONS crystal
Ca 0.209 0.209 0.209
Ca 0.791 0.791 0.791
Tb 0.500 0.500 0.500
Hg 0.000 0.000 0.198
Hg 0.000 0.000 0.802
Hg 0.151 0.151 0.651
Hg 0.363 0.363 0.059
Hg 0.363 0.363 0.667
Hg 0.637 0.637 0.333
Hg 0.637 0.637 0.941
Hg 0.849 0.849 0.349
```



This record from the Alexandria database describes a geometry-optimized TeIrPt2 structure. The functional is GGA-PBE. Values from VASP.

Formation energy without anion corrections   0.229 eV/atom
Calculated density   16.91 Mg/m³
Magnetic moment   0.00 Bohr magnetons per cell

```
&SYSTEM
  ibrav = 0, nat = 4, ntyp = 3
/
ATOMIC_SPECIES
Te 127.60 Te.upf
Ir 192.22 Ir.upf
Pt 195.08 Pt.upf
CELL_PARAMETERS angstrom
3.496 0.000 0.000
0.000 3.496 0.000
0.000 0.000 5.706
ATOMIC_POSITIONS crystal
Te 0.000 0.000 0.000
Ir 0.500 0.500 0.233
Pt 0.000 0.000 0.482
Pt 0.500 0.500 0.706
```



This record from the Alexandria database describes a geometry-optimized ReGe2Pd structure. The functional is GGA-PBE. Values from VASP.

Polymorph energy (0 for the lowest one)   78 meV/atom
Energy relative to the elements   0.15 eV/atom
Calculated density   11.96 Mg/m³
Magnetic moment   0.00 Bohr magnetons per cell

```
&SYSTEM
  ibrav = 0, nat = 4, ntyp = 3
/
ATOMIC_SPECIES
Re 186.21 Re.upf
Ge 72.64 Ge.upf
Pd 106.42 Pd.upf
CELL_PARAMETERS angstrom
0.000 3.121 3.121
3.121 0.000 3.121
3.121 3.121 0.000
ATOMIC_POSITIONS crystal
Re 0.000 0.000 0.000
Ge 0.250 0.250 0.250
Ge 0.750 0.750 0.750
Pd 0.500 0.500 0.500
```



no.,final energy (Ha/atom)
1,-0.301
2,-0.050
3,-0.213
4,-0.241